No. 1
DFT (PBE) results for a geometry-optimized SnHSe2 structure.

Geometry as CIF:
```
data_SnHSe2
_cell_length_a 7.876
_cell_length_b 4.219
_cell_length_c 8.410
_cell_angle_alpha 89.95
_cell_angle_beta 89.86
_cell_angle_gamma 57.60
_symmetry_space_group_name_H-M 'P 1'
_symmetry_Int_Tables_number 1
loop_
_symmetry_equiv_pos_as_xyz
'x,y,z'
loop_
_atom_site_label
_atom_site_fract_x
_atom_site_fract_y
_atom_site_fract_z
H1 0.576 0.252 0.659
H2 0.577 0.739 0.659
Se1 0.914 0.159 0.102
Se2 0.880 0.692 0.516
Se3 0.439 0.633 0.731
Se4 0.365 0.207 0.178
Sn1 0.735 0.838 0.239
Sn2 0.179 0.893 0.388
```

Results
Density of states at the Fermi level: 1.4 states/eV/cell
Symmetry: Pm, No. 6

***

No. 2
DFT (PBE) results for a geometry-optimized Tb8O13 structure.

Geometry as CIF:
```
data_Tb8O13
_cell_length_a 9.372
_cell_length_b 9.348
_cell_length_c 9.425
_cell_angle_alpha 108.49
_cell_angle_beta 111.70
_cell_angle_gamma 108.01
_symmetry_space_group_name_H-M 'P 1'
_symmetry_Int_Tables_number 1
loop_
_symmetry_equiv_pos_as_xyz
'x,y,z'
loop_
_atom_site_label
_atom_site_fract_x
_atom_site_fract_y
_atom_site_fract_z
Tb1 0.192 0.725 0.479
Tb2 0.268 0.270 0.009
Tb3 0.990 0.252 0.264
Tb4 0.238 0.969 0.265
Tb5 0.277 0.527 0.746
Tb6 0.527 0.263 0.747
Tb7 0.012 0.494 0.020
Tb8 0.731 0.467 0.251
Tb9 0.757 0.771 0.974
Tb10 0.727 0.217 0.480
Tb11 0.998 0.004 0.493
Tb12 0.475 0.733 0.223
Tb13 0.489 0.994 0.005
Tb14 0.524 0.500 0.513
Tb15 0.997 0.769 0.738
Tb16 0.814 0.040 0.771
O1 0.990 0.995 0.240
O2 0.240 0.753 0.747
O3 0.950 0.740 0.461
O4 0.507 0.493 0.756
O5 0.025 0.271 0.542
O6 0.473 0.237 0.472
O7 0.759 0.537 0.027
O8 0.046 0.035 0.757
O9 0.252 0.026 0.044
O10 0.501 0.509 0.267
O11 0.972 0.485 0.237
O12 0.740 0.229 0.247
O13 0.485 0.237 0.965
O14 0.263 0.737 0.276
O15 0.707 0.004 0.945
O16 0.473 0.983 0.232
O17 0.767 0.260 0.756
O18 0.266 0.502 0.480
O19 0.728 0.958 0.472
O20 0.534 0.760 0.020
O21 0.229 0.484 0.955
O22 0.269 0.011 0.544
O23 0.000 0.724 0.974
O24 0.741 0.766 0.725
O25 0.042 0.254 0.044
O26 0.783 0.492 0.533
```

Results
Density of states at the Fermi level: 15.5 states/eV/cell
Formation energy without anion corrections: -3298 meV/atom
Symmetry: P1, No. 1

***

No. 3
DFT (PBE) results for a geometry-optimized LiYHf structure.

Geometry as CIF:
```
data_LiYHf
_cell_length_a 11.685
_cell_length_b 5.892
_cell_length_c 5.892
_cell_angle_alpha 147.01
_cell_angle_beta 136.70
_cell_angle_gamma 43.30
_symmetry_space_group_name_H-M 'P 1'
_symmetry_Int_Tables_number 1
loop_
_symmetry_equiv_pos_as_xyz
'x,y,z'
loop_
_atom_site_label
_atom_site_fract_x
_atom_site_fract_y
_atom_site_fract_z
Hf1 0.466 0.386 0.614
Hf2 0.534 0.614 0.386
Y1 0.866 0.969 0.031
Y2 0.134 0.031 0.969
Li1 0.239 0.225 0.775
Li2 0.761 0.775 0.225
```

Results
Density of states at the Fermi level: 7.1 states/eV/cell
Energy relative to the elements: 18.5 kJ/mol of atoms
Symmetry: C2/m, No. 12

***

Number 1: VASP energy -3.78 eV/atom. Number 2: VASP energy -8.13 eV/atom. Number 3: VASP energy -5.92 eV/atom.